[1]
This record from OQMD via LeMat-Bulk describes a geometry-optimized MgAlCoSn structure. The functional is PBE-GGA.

```
4
Lattice="0.0000 3.1957 3.1957 3.1957 0.0000 3.1957 3.1957 3.1957 0.0000" Properties=species:S:1:pos:R:3 pbc="T T T"
Mg 0.0000 0.0000 0.0000
Al 4.7935 4.7935 4.7935
Co 3.1957 3.1957 3.1957
Sn 1.5978 1.5978 1.5978
```

Calculated values
excess energy over the best structure of this formula in the dataset = 0.00 eV/f.u.

=====

[2]
This record from OQMD via LeMat-Bulk describes a geometry-optimized MgAlCoTc structure. The functional is PBE-GGA.

```
4
Lattice="0.0000 3.0309 3.0309 3.0309 0.0000 3.0309 3.0309 3.0309 0.0000" Properties=species:S:1:pos:R:3 pbc="T T T"
Mg 0.0000 0.0000 0.0000
Al 3.0309 3.0309 3.0309
Co 4.5463 4.5463 4.5463
Tc 1.5154 1.5154 1.5154
```

Calculated values
excess energy over the best structure of this formula in the dataset = 0.00 eV/f.u.

=====

[3]
This record from OQMD via LeMat-Bulk describes a geometry-optimized MgAlCoW structure. The functional is PBE-GGA.

```
4
Lattice="0.0000 3.0780 3.0780 3.0780 0.0000 3.0780 3.0780 3.0780 0.0000" Properties=species:S:1:pos:R:3 pbc="T T T"
Mg 0.0000 0.0000 0.0000
Al 3.0780 3.0780 3.0780
Co 4.6169 4.6169 4.6169
W 1.5390 1.5390 1.5390
```

Calculated values
excess energy over the best structure of this formula in the dataset = 0.33 eV/f.u.

=====

[4]
This record from OQMD via LeMat-Bulk describes a geometry-optimized MgAlCoW structure. The functional is PBE-GGA.

```
4
Lattice="0.0000 3.0640 3.0640 3.0640 0.0000 3.0640 3.0640 3.0640 0.0000" Properties=species:S:1:pos:R:3 pbc="T T T"
Mg 0.0000 0.0000 0.0000
Al 1.5320 1.5320 1.5320
Co 3.0640 3.0640 3.0640
W 4.5959 4.5959 4.5959
```

Calculated values
excess energy over the best structure of this formula in the dataset = 0.00 eV/f.u.

=====

[5]
This record from OQMD via LeMat-Bulk describes a geometry-optimized MgAlZnCo structure. The functional is PBE-GGA.

```
4
Lattice="0.0000 3.0346 3.0346 3.0346 0.0000 3.0346 3.0346 3.0346 0.0000" Properties=species:S:1:pos:R:3 pbc="T T T"
Mg 0.0000 0.0000 0.0000
Al 3.0346 3.0346 3.0346
Zn 4.5519 4.5519 4.5519
Co 1.5173 1.5173 1.5173
```

Calculated values
excess energy over the best structure of this formula in the dataset = 0.00 eV/f.u.

=====

[6]
This record from OQMD via LeMat-Bulk describes a geometry-optimized MgAlZnCo structure. The functional is PBE-GGA.

```
4
Lattice="0.0000 3.0421 3.0421 3.0421 0.0000 3.0421 3.0421 3.0421 0.0000" Properties=species:S:1:pos:R:3 pbc="T T T"
Mg 0.0000 0.0000 0.0000
Al 1.5211 1.5211 1.5211
Zn 4.5632 4.5632 4.5632
Co 3.0421 3.0421 3.0421
```

Calculated values
excess energy over the best structure of this formula in the dataset = 0.12 eV/f.u.

=====

[7]
This record from OQMD via LeMat-Bulk describes a geometry-optimized MgZrAlCo structure. The functional is PBE-GGA.

```
4
Lattice="0.0000 3.1992 3.1992 3.1992 0.0000 3.1992 3.1992 3.1992 0.0000" Properties=species:S:1:pos:R:3 pbc="T T T"
Mg 0.0000 0.0000 0.0000
Zr 3.1992 3.1992 3.1992
Al 4.7987 4.7987 4.7987
Co 1.5996 1.5996 1.5996
```

Calculated values
excess energy over the best structure of this formula in the dataset = 0.22 eV/f.u.

=====

[8]
This record from OQMD via LeMat-Bulk describes a geometry-optimized MgZrAlCo structure. The functional is PBE-GGA.

```
4
Lattice="0.0000 3.1863 3.1863 3.1863 0.0000 3.1863 3.1863 3.1863 0.0000" Properties=species:S:1:pos:R:3 pbc="T T T"
Mg 0.0000 0.0000 0.0000
Zr 1.5931 1.5931 1.5931
Al 3.1863 3.1863 3.1863
Co 4.7794 4.7794 4.7794
```

Calculated values
excess energy over the best structure of this formula in the dataset = 1.00 eV/f.u.

=====

[9]
This record from OQMD via LeMat-Bulk describes a geometry-optimized MgZrAlCo structure. The functional is PBE-GGA.

```
4
Lattice="0.0000 3.1702 3.1702 3.1702 0.0000 3.1702 3.1702 3.1702 0.0000" Properties=species:S:1:pos:R:3 pbc="T T T"
Mg 0.0000 0.0000 0.0000
Zr 4.7553 4.7553 4.7553
Al 1.5851 1.5851 1.5851
Co 3.1702 3.1702 3.1702
```

Calculated values
excess energy over the best structure of this formula in the dataset = 0.00 eV/f.u.

=====

[10]
This record from OQMD via LeMat-Bulk describes a geometry-optimized AlCo2Mo structure. The functional is PBE-GGA.

```
4
Lattice="0.0000 2.9240 2.9240 2.9240 0.0000 2.9240 2.9240 2.9240 0.0000" Properties=species:S:1:pos:R:3 pbc="T T T"
Al 0.0000 0.0000 0.0000
Co 1.4620 1.4620 1.4620
Co 2.9240 2.9240 2.9240
Mo 4.3860 4.3860 4.3860
```

Calculated values
total DFT energy (no corrections) = -7.19 eV per atom

=====

[11]
This record from OQMD via LeMat-Bulk describes a geometry-optimized AlCoMo2 structure. The functional is PBE-GGA.

```
4
Lattice="0.0000 3.0423 3.0423 3.0423 0.0000 3.0423 3.0423 3.0423 0.0000" Properties=species:S:1:pos:R:3 pbc="T T T"
Al 0.0000 0.0000 0.0000
Co 1.5211 1.5211 1.5211
Mo 3.0423 3.0423 3.0423
Mo 4.5634 4.5634 4.5634
```

Calculated values
total DFT energy (no corrections) = -8.18 eV per atom

=====

[12]
This record from OQMD via LeMat-Bulk describes a geometry-optimized Al2CoMo structure. The functional is PBE-GGA.

```
4
Lattice="0.0000 3.0302 3.0302 3.0302 0.0000 3.0302 3.0302 3.0302 0.0000" Properties=species:S:1:pos:R:3 pbc="T T T"
Al 0.0000 0.0000 0.0000
Al 1.5151 1.5151 1.5151
Co 4.5453 4.5453 4.5453
Mo 3.0302 3.0302 3.0302
```

Calculated values
total DFT energy (no corrections) = -6.41 eV per atom

=====

[13]
This record from OQMD via LeMat-Bulk describes a geometry-optimized AlCoNiMo structure. The functional is PBE-GGA.

```
4
Lattice="0.0000 2.9391 2.9391 2.9391 0.0000 2.9391 2.9391 2.9391 0.0000" Properties=species:S:1:pos:R:3 pbc="T T T"
Al 0.0000 0.0000 0.0000
Co 1.4696 1.4696 1.4696
Ni 4.4087 4.4087 4.4087
Mo 2.9391 2.9391 2.9391
```

Calculated values
excess energy over the best structure of this formula in the dataset = 0.00 eV/f.u.